# PuSiTe PBE-GGA optimized geometry
data_PuSiTe
_chemical_formula_sum 'Pu4 Si4 Te4'
_cell_length_a 7.006
_cell_length_b 7.006
_cell_length_c 7.006
_cell_angle_alpha 90.00
_cell_angle_beta 90.00
_cell_angle_gamma 90.00
_symmetry_space_group_name_H-M 'F -4 3 m'
_symmetry_Int_Tables_number 216
_symmetry_space_group_name_Hall 'F -4 2 3'
loop_
_atom_site_label
_atom_site_fract_x
_atom_site_fract_y
_atom_site_fract_z
_atom_site_occupancy
Pu1 0.000 0.000 0.000 1
Si1 0.250 0.250 0.750 1
Te1 0.250 0.250 0.250 1
# total DFT energy (no corrections) = -7.67 eV/atom